*i*
Computed, not measured: crystalline CsCrS2O8 at its relaxed geometry at the PBE+U level of DFT.

Geometry as CIF:
```
data_CsCrS2O8
_chemical_formula_sum 'Cs1 Cr1 S2 O8'
_cell_length_a 5.1316
_cell_length_b 5.1316
_cell_length_c 8.8114
_cell_angle_alpha 90.00
_cell_angle_beta 90.00
_cell_angle_gamma 120.00
_symmetry_space_group_name_H-M 'P 3 2 1'
_symmetry_Int_Tables_number 150
loop_
_symmetry_equiv_pos_as_xyz
'x,y,z'
'-y,x-y,z'
'-x+y,-x,z'
'y,x,-z'
'x-y,-y,-z'
'-x,-x+y,-z'
loop_
_atom_site_label
_atom_site_type_symbol
_atom_site_fract_x
_atom_site_fract_y
_atom_site_fract_z
Cs1 Cs 0.0000 0.0000 0.0000
Cr1 Cr 0.0000 0.0000 0.5000
S1 S 0.3333 0.6667 0.3045
O1 O 0.1412 0.7890 0.3595
O2 O 0.3333 0.6667 0.1387
```

***

*ii*
Computed, not measured: crystalline CsCrS2O8 at its relaxed geometry at the PBE+U level of DFT.

Geometry as CIF:
```
data_CsCrS2O8
_chemical_formula_sum 'Cs2 Cr2 S4 O16'
_cell_length_a 4.928
_cell_length_b 4.972
_cell_length_c 17.845
_cell_angle_alpha 88.58
_cell_angle_beta 88.34
_cell_angle_gamma 61.36
_symmetry_space_group_name_H-M 'P -1'
_symmetry_Int_Tables_number 2
loop_
_symmetry_equiv_pos_as_xyz
'x,y,z'
'-x,-y,-z'
loop_
_atom_site_label
_atom_site_type_symbol
_atom_site_fract_x
_atom_site_fract_y
_atom_site_fract_z
Cs1 Cs 0.020 0.010 0.252
Cr1 Cr 0.000 0.000 0.000
Cr2 Cr 0.000 0.000 0.500
S1 S 0.343 0.343 0.406
S2 S 0.360 0.349 0.910
O1 O 0.089 0.644 0.433
O2 O 0.214 0.237 0.967
O3 O 0.272 0.337 0.833
O4 O 0.282 0.671 0.929
O5 O 0.284 0.088 0.433
O6 O 0.293 0.840 0.086
O7 O 0.351 0.346 0.324
O8 O 0.352 0.711 0.566
```

***

Unit: meV/atom. Relative energies: *i* 31; *ii* 0.